w) First-principles (PBE) data for an optimized crystal structure of EuErHg, as listed in the Alexandria database.

a b c (Å): 5.2145 5.2145 3.9354
angles (deg): 90.00 90.00 120.00
Closest atoms and distances in Å follow each position.
Space group P3m1 (No. 156)
Unique sites:
Eu1 0.0000 0.0000 0.0000 x1  6 Hg 3.56-3.63, 6 Er 3.59-3.60, 2 Eu 3.94
Er1 0.3333 0.6667 0.5039 x1  3 Hg 3.01
Hg1 0.6667 0.3333 0.4848 x1  3 Er 3.01

volume = 92.7 Å³ per cell
magnetic moment = 7.27 Bohr magnetons per cell
ρ = 9.3 g cm⁻³


x) First-principles (PBE) data for an optimized crystal structure of EuErHg, as listed in the Alexandria database.

a b c (Å): 3.7747 3.7747 12.8963
angles (deg): 90.00 90.00 90.00
Closest atoms and distances in Å follow each position.
Space group I4mm (No. 107)
Unique sites:
Eu1 0.0000 0.0000 0.0000 x2  4 Hg 3.42, 1 Er 3.70, 4 Eu 3.77
Er1 0.0000 0.0000 0.2869 x2  4 Hg 3.09
Hg1 0.0000 0.0000 0.6655 x2  4 Er 3.09, 4 Eu 3.42

volume = 183.8 Å³ per cell
magnetic moment = 15.03 Bohr magnetons per cell
ρ = 9.4 g cm⁻³


Q: Which of them is the least stable? A: w).


w) First-principles (PBE) data for an optimized crystal structure of Eu2HoEr, as listed in the Alexandria database.

a b c (Å): 8.2226 8.2226 8.2226
angles (deg): 90.00 90.00 90.00
Closest atoms and distances in Å follow each position.
Space group Fm-3m (No. 225)
Unique sites:
Eu1 0.2500 0.2500 0.2500 x8  4 Ho 3.56, 4 Er 3.56
Ho1 0.0000 0.0000 0.0000 x4  8 Eu 3.56
Er1 0.0000 0.0000 0.5000 x4  8 Eu 3.56

volume = 555.9 Å³ per cell
magnetic moment = 58.01 Bohr magnetons per cell
ρ = 7.6 g cm⁻³


x) First-principles (PBE) data for an optimized crystal structure of Eu2HoEr, as listed in the Alexandria database.

a b c (Å): 5.1625 5.1625 5.2138
angles (deg): 90.00 90.00 90.00
Closest atoms and distances in Å follow each position.
Space group P4/mmm (No. 123)
Unique sites:
Eu1 0.0000 0.5000 0.0000 x2  4 Eu 3.65, 4 Ho 3.67, 4 Er 3.67
Ho1 0.0000 0.0000 0.5000 x1  4 Er 3.65, 8 Eu 3.67
Er1 0.5000 0.5000 0.5000 x1  4 Ho 3.65, 8 Eu 3.67

volume = 139.0 Å³ per cell
magnetic moment = 15.32 Bohr magnetons per cell
ρ = 7.6 g cm⁻³


Q: Which of them is the least stable? A: w).


w) First-principles (PBE) data for an optimized crystal structure of EuHo2Er, as listed in the Alexandria database.

a b c (Å): 3.5114 3.5114 37.3576
angles (deg): 90.00 90.00 120.00
Closest atoms and distances in Å follow each position.
Space group R-3m (No. 166, hexagonal axes)
Unique sites:
Eu1 0.0000 0.0000 0.0000 x3  2 Ho 3.42, 6 Eu 3.51
Ho1 0.0000 0.0000 0.0916 x6  1 Eu 3.42, 3 Er 3.46, 6 Ho 3.51
Er1 0.0000 0.0000 0.5000 x3  6 Ho 3.46, 6 Er 3.51

volume = 398.9 Å³ per cell
magnetic moment = 23.34 Bohr magnetons per cell
ρ = 8.1 g cm⁻³


x) First-principles (PBE) data for an optimized crystal structure of EuHo2Er, as listed in the Alexandria database.

a b c (Å): 8.0705 8.0705 8.0705
angles (deg): 90.00 90.00 90.00
Closest atoms and distances in Å follow each position.
Space group Fm-3m (No. 225)
Unique sites:
Eu1 0.0000 0.0000 0.0000 x4  8 Ho 3.49
Ho1 0.2500 0.2500 0.2500 x8  4 Er 3.49, 4 Eu 3.49
Er1 0.0000 0.0000 0.5000 x4  8 Ho 3.49

volume = 525.6 Å³ per cell
magnetic moment = 32.82 Bohr magnetons per cell
ρ = 8.2 g cm⁻³


y) First-principles (PBE) data for an optimized crystal structure of EuHo2Er, as listed in the Alexandria database.

a b c (Å): 3.5787 3.5787 10.2510
angles (deg): 90.00 90.00 90.00
Closest atoms and distances in Å follow each position.
Space group P4/mmm (No. 123)
Unique sites:
Eu1 0.0000 0.0000 0.0000 x1  4 Eu 3.58, 8 Ho 3.72
Ho1 0.5000 0.5000 0.2666 x2  4 Er 3.48, 4 Ho 3.58, 4 Eu 3.72
Er1 0.0000 0.0000 0.5000 x1  8 Ho 3.48, 4 Er 3.58

volume = 131.3 Å³ per cell
magnetic moment = 7.42 Bohr magnetons per cell
ρ = 8.2 g cm⁻³


Q: Which of them is the least stable? A: x).


w) First-principles (PBE) data for an optimized crystal structure of EuErIn, as listed in the Alexandria database.

a b c (Å): 5.3760 5.3760 3.6161
angles (deg): 90.00 90.00 120.00
Closest atoms and distances in Å follow each position.
Space group P3m1 (No. 156)
Unique sites:
Eu1 0.0000 0.0000 0.0000 x1  3 In 3.38, 6 Er 3.47-3.73, 2 Eu 3.62
Er1 0.6667 0.3333 0.5705 x1  3 In 3.19, 3 Eu 3.47
In1 0.3333 0.6667 0.3722 x1  3 Er 3.19, 3 Eu 3.38

volume = 90.5 Å³ per cell
magnetic moment = 7.22 Bohr magnetons per cell
ρ = 8.0 g cm⁻³


x) First-principles (PBE) data for an optimized crystal structure of EuErIn, as listed in the Alexandria database.

a b c (Å): 3.7251 3.7251 13.4110
angles (deg): 90.00 90.00 90.00
Closest atoms and distances in Å follow each position.
Space group I4mm (No. 107)
Unique sites:
Eu1 0.0000 0.0000 0.0000 x2  4 In 3.42, 4 Eu 3.73, 4 Er 3.77
Er1 0.0000 0.0000 0.2992 x2  4 In 3.20
In1 0.0000 0.0000 0.6632 x2  4 Er 3.20, 4 Eu 3.42

volume = 186.1 Å³ per cell
magnetic moment = 15.64 Bohr magnetons per cell
ρ = 7.7 g cm⁻³


Q: Which of them is the least stable? A: w).


w) First-principles (PBE) data for an optimized crystal structure of LaEuEr2, as listed in the Alexandria database.

a b c (Å): 3.6991 3.6991 10.0509
angles (deg): 90.00 90.00 90.00
Closest atoms and distances in Å follow each position.
Space group P4/mmm (No. 123)
Unique sites:
La1 0.0000 0.0000 0.0000 x1  8 Er 3.57, 4 La 3.70
Eu1 0.0000 0.0000 0.5000 x1  8 Er 3.69, 4 Eu 3.70
Er1 0.5000 0.5000 0.2413 x2  4 La 3.57, 4 Eu 3.69, 4 Er 3.70

volume = 137.5 Å³ per cell
magnetic moment = 7.59 Bohr magnetons per cell
ρ = 7.6 g cm⁻³


x) First-principles (PBE) data for an optimized crystal structure of LaEuEr2, as listed in the Alexandria database.

a b c (Å): 8.2043 8.2043 8.2043
angles (deg): 90.00 90.00 90.00
Closest atoms and distances in Å follow each position.
Space group Fm-3m (No. 225)
Unique sites:
La1 0.0000 0.0000 0.0000 x4  8 Er 3.55
Eu1 0.0000 0.0000 0.5000 x4  8 Er 3.55
Er1 0.2500 0.2500 0.2500 x8  4 Eu 3.55, 4 La 3.55

volume = 552.2 Å³ per cell
magnetic moment = 28.27 Bohr magnetons per cell
ρ = 7.5 g cm⁻³


Q: Which of them is the least stable? A: x).


w) First-principles (PBE) data for an optimized crystal structure of LiEuEr2, as listed in the Alexandria database.

a b c (Å): 3.6562 3.6562 8.9145
angles (deg): 90.00 90.00 90.00
Closest atoms and distances in Å follow each position.
Space group P4/mmm (No. 123)
Unique sites:
Li1 0.0000 0.0000 0.0000 x1  8 Er 3.16
Eu1 0.0000 0.0000 0.5000 x1  4 Eu 3.66, 8 Er 3.70
Er1 0.5000 0.5000 0.2035 x2  4 Li 3.16

volume = 119.2 Å³ per cell
magnetic moment = 7.90 Bohr magnetons per cell
ρ = 6.9 g cm⁻³


x) First-principles (PBE) data for an optimized crystal structure of LiEuEr2, as listed in the Alexandria database.

a b c (Å): 3.4777 3.4777 37.0709
angles (deg): 90.00 90.00 120.00
Closest atoms and distances in Å follow each position.
Space group R-3m (No. 166, hexagonal axes)
Unique sites:
Li1 0.0000 0.0000 0.0000 x3  2 Er 3.18, 6 Li 3.48
Eu1 0.0000 0.0000 0.5000 x3  6 Eu 3.48, 6 Er 3.61
Er1 0.0000 0.0000 0.0859 x6  1 Li 3.18, 6 Er 3.48

volume = 388.3 Å³ per cell
magnetic moment = 24.58 Bohr magnetons per cell
ρ = 6.3 g cm⁻³


Q: Which of them is the least stable? A: x).


w) First-principles (PBE) data for an optimized crystal structure of Eu2ErLu, as listed in the Alexandria database.

a b c (Å): 5.1272 5.1272 5.2150
angles (deg): 90.00 90.00 90.00
Closest atoms and distances in Å follow each position.
Space group P4/mmm (No. 123)
Unique sites:
Eu1 0.0000 0.5000 0.0000 x2  4 Eu 3.63, 4 Lu 3.66, 4 Er 3.66
Er1 0.0000 0.0000 0.5000 x1  4 Lu 3.63, 8 Eu 3.66
Lu1 0.5000 0.5000 0.5000 x1  4 Er 3.63, 8 Eu 3.66

volume = 137.1 Å³ per cell
magnetic moment = 15.50 Bohr magnetons per cell
ρ = 7.8 g cm⁻³


x) First-principles (PBE) data for an optimized crystal structure of Eu2ErLu, as listed in the Alexandria database.

a b c (Å): 8.1825 8.1825 8.1825
angles (deg): 90.00 90.00 90.00
Closest atoms and distances in Å follow each position.
Space group Fm-3m (No. 225)
Unique sites:
Eu1 0.2500 0.2500 0.2500 x8  4 Lu 3.54, 4 Er 3.54
Er1 0.0000 0.0000 0.0000 x4  8 Eu 3.54
Lu1 0.0000 0.0000 0.5000 x4  8 Eu 3.54

volume = 547.8 Å³ per cell
magnetic moment = 58.42 Bohr magnetons per cell
ρ = 7.8 g cm⁻³


Q: Which of them is the least stable? A: x).


w) First-principles (PBE) data for an optimized crystal structure of EuEr2Mg, as listed in the Alexandria database.

a b c (Å): 7.8433 7.8433 7.8433
angles (deg): 90.00 90.00 90.00
Closest atoms and distances in Å follow each position.
Space group Fm-3m (No. 225)
Unique sites:
Eu1 0.0000 0.0000 0.0000 x4  8 Er 3.40
Er1 0.2500 0.2500 0.2500 x8  4 Mg 3.40, 4 Eu 3.40
Mg1 0.0000 0.0000 0.5000 x4  8 Er 3.40

volume = 482.5 Å³ per cell
magnetic moment = 28.19 Bohr magnetons per cell
ρ = 7.0 g cm⁻³


x) First-principles (PBE) data for an optimized crystal structure of EuEr2Mg, as listed in the Alexandria database.

a b c (Å): 3.7205 3.7205 8.9377
angles (deg): 90.00 90.00 90.00
Closest atoms and distances in Å follow each position.
Space group P4/mmm (No. 123)
Unique sites:
Eu1 0.0000 0.0000 0.0000 x1  8 Er 3.72, 4 Eu 3.72
Er1 0.5000 0.5000 0.2940 x2  4 Mg 3.21
Mg1 0.0000 0.0000 0.5000 x1  8 Er 3.21

volume = 123.7 Å³ per cell
magnetic moment = 7.43 Bohr magnetons per cell
ρ = 6.9 g cm⁻³


Q: Which of them is the least stable? A: w).


w) First-principles (PBE) data for an optimized crystal structure of Eu2ErMg, as listed in the Alexandria database.

a b c (Å): 5.0993 5.0993 5.1445
angles (deg): 90.00 90.00 90.00
Closest atoms and distances in Å follow each position.
Space group P4/mmm (No. 123)
Unique sites:
Eu1 0.0000 0.5000 0.0000 x2  4 Eu 3.61, 4 Mg 3.62, 4 Er 3.62
Er1 0.0000 0.0000 0.5000 x1  4 Mg 3.61, 8 Eu 3.62
Mg1 0.5000 0.5000 0.5000 x1  4 Er 3.61, 8 Eu 3.62

volume = 133.8 Å³ per cell
magnetic moment = 15.39 Bohr magnetons per cell
ρ = 6.2 g cm⁻³


x) First-principles (PBE) data for an optimized crystal structure of Eu2ErMg, as listed in the Alexandria database.

a b c (Å): 3.7105 3.7105 9.8564
angles (deg): 90.00 90.00 90.00
Closest atoms and distances in Å follow each position.
Space group P4/mmm (No. 123)
Unique sites:
Eu1 0.0000 0.0000 0.2353 x2  4 Mg 3.50, 4 Er 3.70, 4 Eu 3.71
Er1 0.5000 0.5000 0.5000 x1  8 Eu 3.70, 4 Er 3.71
Mg1 0.5000 0.5000 0.0000 x1  8 Eu 3.50, 4 Mg 3.71

volume = 135.7 Å³ per cell
magnetic moment = 15.34 Bohr magnetons per cell
ρ = 6.1 g cm⁻³


Q: Which of them is the least stable? A: w).


w) First-principles (PBE) data for an optimized crystal structure of NdEuEr2, as listed in the Alexandria database.

a b c (Å): 5.8644 5.8644 3.9333
angles (deg): 90.00 90.00 90.00
Closest atoms and distances in Å follow each position.
Space group P4/mmm (No. 123)
Unique sites:
Nd1 0.0000 0.0000 0.0000 x1  8 Er 3.53, 2 Nd 3.93
Eu1 0.5000 0.5000 0.0000 x1  8 Er 3.53, 2 Eu 3.93
Er1 0.0000 0.5000 0.5000 x2  4 Nd 3.53, 4 Eu 3.53, 2 Er 3.93

volume = 135.3 Å³ per cell
magnetic moment = 7.10 Bohr magnetons per cell
ρ = 7.7 g cm⁻³


x) First-principles (PBE) data for an optimized crystal structure of NdEuEr2, as listed in the Alexandria database.

a b c (Å): 3.6506 3.6506 10.2034
angles (deg): 90.00 90.00 90.00
Closest atoms and distances in Å follow each position.
Space group P4/mmm (No. 123)
Unique sites:
Nd1 0.0000 0.0000 0.0000 x1  8 Er 3.54, 4 Nd 3.65
Eu1 0.0000 0.0000 0.5000 x1  4 Eu 3.65, 8 Er 3.72
Er1 0.5000 0.5000 0.2380 x2  4 Nd 3.54, 4 Er 3.65, 4 Eu 3.72

volume = 136.0 Å³ per cell
magnetic moment = 7.79 Bohr magnetons per cell
ρ = 7.7 g cm⁻³


Q: Which of them is the least stable? A: w).


w) First-principles (PBE) data for an optimized crystal structure of Nd2EuEr, as listed in the Alexandria database.

a b c (Å): 8.2566 8.2566 8.2566
angles (deg): 90.00 90.00 90.00
Closest atoms and distances in Å follow each position.
Space group Fm-3m (No. 225)
Unique sites:
Nd1 0.2500 0.2500 0.2500 x8  4 Er 3.58, 4 Eu 3.58
Eu1 0.0000 0.0000 0.0000 x4  8 Nd 3.58
Er1 0.0000 0.0000 0.5000 x4  8 Nd 3.58

volume = 562.9 Å³ per cell
magnetic moment = 30.70 Bohr magnetons per cell
ρ = 7.2 g cm⁻³


x) First-principles (PBE) data for an optimized crystal structure of Nd2EuEr, as listed in the Alexandria database.

a b c (Å): 3.6762 3.6762 10.4163
angles (deg): 90.00 90.00 90.00
Closest atoms and distances in Å follow each position.
Space group P4/mmm (No. 123)
Unique sites:
Nd1 0.0000 0.0000 0.2345 x2  4 Er 3.57, 4 Nd 3.68, 4 Eu 3.80
Eu1 0.5000 0.5000 0.5000 x1  4 Eu 3.68, 8 Nd 3.80
Er1 0.5000 0.5000 0.0000 x1  8 Nd 3.57, 4 Er 3.68

volume = 140.8 Å³ per cell
magnetic moment = 7.22 Bohr magnetons per cell
ρ = 7.2 g cm⁻³


Q: Which of them is the least stable? A: w).


w) First-principles (PBE) data for an optimized crystal structure of Nd2EuEr, as listed in the Alexandria database.

a b c (Å): 6.0138 6.0138 3.8756
angles (deg): 90.00 90.00 90.00
Closest atoms and distances in Å follow each position.
Space group P4/mmm (No. 123)
Unique sites:
Nd1 0.0000 0.5000 0.0000 x2  4 Er 3.58, 4 Eu 3.58, 2 Nd 3.88
Eu1 0.0000 0.0000 0.5000 x1  8 Nd 3.58, 2 Eu 3.88
Er1 0.5000 0.5000 0.5000 x1  8 Nd 3.58, 2 Er 3.88

volume = 140.2 Å³ per cell
magnetic moment = 7.95 Bohr magnetons per cell
ρ = 7.2 g cm⁻³


x) First-principles (PBE) data for an optimized crystal structure of Nd2EuEr, as listed in the Alexandria database.

a b c (Å): 3.5990 3.5990 38.2847
angles (deg): 90.00 90.00 120.00
Closest atoms and distances in Å follow each position.
Space group R-3m (No. 166, hexagonal axes)
Unique sites:
Nd1 0.0000 0.0000 0.0915 x6  1 Eu 3.50, 3 Er 3.55, 6 Nd 3.60
Eu1 0.0000 0.0000 0.0000 x3  2 Nd 3.50, 6 Eu 3.60
Er1 0.0000 0.0000 0.5000 x3  6 Nd 3.55, 6 Er 3.60

volume = 429.5 Å³ per cell
magnetic moment = 23.88 Bohr magnetons per cell
ρ = 7.0 g cm⁻³


Q: Which of them is the least stable? A: x).